Entry 1:
Below is a relaxed Th4Sn2Ru crystal, with properties calculated at the GGA-PBE level.

Lattice parameters (Å, degrees): 6.401 6.750 10.363 90.00 113.93 90.00
Fractional positions:
1 Ru 0.839 0.250 0.830
2 Th 0.506 0.014 0.258
3 Th 0.506 0.486 0.258
4 Ru 0.161 0.750 0.170
5 Sn 0.694 0.750 0.051
6 Th 0.094 0.750 0.897
7 Sn 0.742 0.750 0.558
8 Th 0.494 0.986 0.742
9 Th 0.890 0.250 0.589
10 Sn 0.258 0.250 0.442
11 Th 0.110 0.750 0.411
12 Sn 0.306 0.250 0.949
13 Th 0.494 0.514 0.742
14 Th 0.906 0.250 0.103

## Properties
- Calculated formation energy: -0.407 eV/atom
- V: 29.2 A^3/atom
- Space-group type: P2_1/m
- Calculated total energy: -0.261 Ha/atom



Entry 2:
Below is a relaxed Th2SnRu crystal, with properties calculated at the GGA-PBE level.

Lattice parameters (Å, degrees): 3.403 3.403 8.717 90.00 90.00 90.00
Fractional positions:
1 Th 0.000 0.000 0.214
2 Th 0.000 0.000 0.786
3 Ru 0.500 0.500 0.000
4 Sn 0.500 0.500 0.500

## Properties
- Calculated formation energy: -0.460 eV/atom
- V: 25.2 A^3/atom
- E above lowest polymorph: 0.000 eV/f.u.
- Space-group type: P4/mmm
- Calculated total energy: -0.275 Ha/atom



Entry 3:
Below is a relaxed Ti2SnRu crystal, with properties calculated at the GGA-PBE level.

Lattice parameters (Å, degrees): 3.377 3.377 5.922 90.00 90.00 90.00
Fractional positions:
1 Ru 0.500 0.500 0.000
2 Ti 0.000 0.000 0.225
3 Sn 0.500 0.500 0.500
4 Ti 0.000 0.000 0.775

## Properties
- Calculated formation energy: -0.339 eV/atom
- V: 16.9 A^3/atom
- Space-group type: P4/mmm
- Calculated total energy: -0.280 Ha/atom



Entry 4:
Below is a relaxed TiSn3Ru crystal, with properties calculated at the GGA-PBE level.

Lattice parameters (Å, degrees): 5.131 5.131 5.131 90.00 90.00 90.00
Each line ends with the local moment (μB).
Fractional positions:
1 Ru 0.000 0.000 0.000  0.18
2 Ti 0.500 0.500 0.500  -0.04
3 Sn 0.000 0.000 0.500  0.00
4 Sn 0.000 0.500 0.000  0.00
5 Sn 0.500 0.000 0.000  0.00

## Properties
- Calculated formation energy: 0.611 eV/atom
- V: 27.0 A^3/atom
- E above lowest polymorph: 0.000 eV/f.u.
- Space-group type: Pm-3m
- Calculated total energy: -0.192 Ha/atom



Entry 5:
Below is a relaxed Ti2Sn2Ru crystal, with properties calculated at the GGA-PBE level.

Lattice parameters (Å, degrees): 6.852 6.852 4.055 90.00 90.00 90.00
Fractional positions:
1 Ti 0.341 0.159 0.500
2 Sn 0.647 0.147 0.000
3 Ti 0.159 0.659 0.500
4 Sn 0.853 0.647 0.000
5 Ti 0.659 0.841 0.500
6 Sn 0.353 0.853 0.000
7 Sn 0.147 0.353 0.000
8 Ti 0.841 0.341 0.500
9 Ru 0.000 0.000 0.000
10 Ru 0.500 0.500 0.000

## Properties
- Calculated formation energy: -0.105 eV/atom
- V: 19.0 A^3/atom
- Space-group type: P4/mbm
- Calculated total energy: -0.247 Ha/atom



Entry 6:
Below is a relaxed TiSnRu2 crystal, with properties calculated at the GGA-PBE level.

Lattice parameters (Å, degrees): 3.215 4.411 4.411 90.00 90.00 90.00
Fractional positions:
1 Ru 0.000 0.500 0.000
2 Sn 0.500 0.500 0.500
3 Ti 0.500 0.000 0.000
4 Ru 0.000 0.000 0.500

## Properties
- Calculated formation energy: -0.505 eV/atom
- V: 15.6 A^3/atom
- Space-group type: P4/mmm
- Calculated total energy: -0.298 Ha/atom



Entry 7:
Below is a relaxed TiSn2Ru crystal, with properties calculated at the GGA-PBE level.

Lattice parameters (Å, degrees): 4.094 4.094 10.164 78.38 78.38 90.00
Fractional positions:
1 Sn 0.875 0.879 0.750
2 Ti 0.250 0.750 0.500
3 Ru 0.750 0.250 0.500
4 Sn 0.375 0.371 0.750
5 Ru 0.000 0.000 0.000
6 Ti 0.500 0.500 0.000
7 Sn 0.121 0.625 0.250
8 Sn 0.629 0.125 0.250

## Properties
- Calculated formation energy: 0.245 eV/atom
- V: 20.4 A^3/atom
- Space-group type: I-42d
- Calculated total energy: -0.222 Ha/atom



Entry 8:
Below is a relaxed Ti8Sn2Ru crystal, with properties calculated at the GGA-PBE level.

Lattice parameters (Å, degrees): 4.655 6.223 7.799 113.52 107.37 90.00
Fractional positions:
1 Ti 0.636 0.395 0.272
2 Sn 0.186 0.686 0.372
3 Ru 0.500 0.000 0.000
4 Ti 0.000 0.254 0.000
5 Ti 0.636 0.876 0.272
6 Ti 0.172 0.172 0.344
7 Ti 0.364 0.605 0.728
8 Ti 0.828 0.828 0.656
9 Ti 0.364 0.124 0.728
10 Ti 0.000 0.746 0.000
11 Sn 0.814 0.314 0.628

## Properties
- Calculated formation energy: -0.280 eV/atom
- V: 17.8 A^3/atom
- Space-group type: Immm
- Calculated total energy: -0.279 Ha/atom



Entry 9:
Below is a relaxed Ti2SnRu crystal, with properties calculated at the GGA-PBE level.

Lattice parameters (Å, degrees): 7.372 7.372 5.894 51.29 51.29 90.00
Fractional positions:
1 Sn 0.000 0.000 0.000
2 Sn 0.750 0.250 0.500
3 Ti 0.180 0.625 0.250
4 Ti 0.875 0.820 0.750
5 Ti 0.375 0.430 0.750
6 Ti 0.570 0.125 0.250
7 Ru 0.250 0.750 0.500
8 Ru 0.500 0.500 0.000

## Properties
- Calculated formation energy: -0.017 eV/atom
- V: 18.7 A^3/atom
- Space-group type: I-42d
- Calculated total energy: -0.268 Ha/atom



Entry 10:
Below is a relaxed Ti12Sn5Ru3 crystal, with properties calculated at the GGA-PBE level.

Lattice parameters (Å, degrees): 13.349 13.349 13.349 109.47 109.47 109.47
Each line ends with the local moment (μB).
Fractional positions:
1 Ti 0.896 0.055 0.637  0.33
2 Ti 0.055 0.896 0.137  0.33
3 Ti 0.055 0.159 0.418  0.33
4 Ti 0.396 0.137 0.555  0.33
5 Ti 0.363 0.445 0.104  0.33
6 Ti 0.841 0.945 0.082  0.33
7 Ti 0.863 0.259 0.418  0.33
8 Ti 0.741 0.604 0.159  0.33
9 Ti 0.555 0.637 0.396  0.33
10 Ti 0.082 0.445 0.841  0.33
11 Ru 0.875 0.125 0.250  -0.09
12 Ti 0.637 0.082 0.241  0.33
13 Ti 0.945 0.104 0.863  0.33
14 Sn 0.125 0.750 0.375  -0.02
15 Sn 0.000 0.000 0.500  -0.03
16 Ru 0.625 0.250 0.375  -0.09
17 Ru 0.375 0.625 0.250  -0.09
18 Sn 0.500 0.500 0.000  -0.03
19 Ti 0.759 0.418 0.363  0.33
20 Sn 0.125 0.375 0.250  -0.02
21 Ti 0.604 0.863 0.445  0.33
22 Ti 0.841 0.896 0.259  0.33
23 Ti 0.637 0.555 0.896  0.33
24 Ti 0.945 0.841 0.582  0.33
25 Ru 0.375 0.750 0.625  -0.09
26 Ti 0.396 0.259 0.341  0.33
27 Ti 0.918 0.363 0.259  0.33
28 Ti 0.896 0.841 0.759  0.33
29 Ti 0.445 0.082 0.341  0.33
30 Sn 0.500 0.000 0.000  -0.03
31 Sn 0.375 0.125 0.750  -0.02
32 Ti 0.555 0.918 0.659  0.33
33 Ti 0.082 0.637 0.741  0.33
34 Ti 0.259 0.396 0.841  0.33
35 Ti 0.137 0.741 0.582  0.33
36 Ti 0.863 0.604 0.945  0.33
37 Sn 0.875 0.625 0.750  -0.02
38 Sn 0.250 0.875 0.125  -0.02
39 Ru 0.250 0.625 0.875  -0.09
40 Ti 0.241 0.582 0.637  0.33
41 Ru 0.875 0.750 0.125  -0.09
42 Ti 0.259 0.863 0.918  0.33
43 Ti 0.418 0.659 0.055  0.33
44 Ti 0.582 0.241 0.137  0.33
45 Ti 0.659 0.418 0.555  0.33
46 Ti 0.445 0.363 0.604  0.33
47 Sn 0.875 0.250 0.625  -0.02
48 Ti 0.341 0.759 0.396  0.33
49 Ru 0.250 0.125 0.375  -0.09
50 Ru 0.750 0.375 0.125  -0.09
51 Ti 0.659 0.241 0.604  0.33
52 Ti 0.363 0.918 0.759  0.33
53 Sn 0.250 0.375 0.625  -0.02
54 Sn 0.750 0.625 0.375  -0.02
55 Ti 0.159 0.104 0.741  0.33
56 Sn 0.000 0.500 0.500  -0.03
57 Sn 0.625 0.750 0.875  -0.02
58 Sn 0.375 0.250 0.125  -0.02
59 Ti 0.241 0.659 0.104  0.33
60 Sn 0.625 0.875 0.250  -0.02
61 Sn 0.000 0.000 0.000  -0.03
62 Ti 0.759 0.341 0.896  0.33
63 Ti 0.104 0.945 0.363  0.33
64 Ru 0.750 0.875 0.625  -0.09
65 Ti 0.159 0.055 0.918  0.33
66 Ti 0.104 0.159 0.241  0.33
67 Ti 0.604 0.741 0.659  0.33
68 Ti 0.341 0.582 0.445  0.33
69 Ti 0.741 0.137 0.082  0.33
70 Sn 0.500 0.000 0.500  -0.03
71 Ti 0.582 0.341 0.945  0.33
72 Ti 0.418 0.759 0.863  0.33
73 Ru 0.625 0.375 0.750  -0.09
74 Sn 0.500 0.500 0.500  -0.03
75 Ru 0.125 0.875 0.750  -0.09
76 Ti 0.137 0.396 0.055  0.33
77 Ru 0.125 0.250 0.875  -0.09
78 Sn 0.750 0.125 0.875  -0.02
79 Sn 0.000 0.500 0.000  -0.03
80 Ti 0.918 0.555 0.159  0.33

## Properties
- Calculated formation energy: 0.415 eV/atom
- V: 22.9 A^3/atom
- Space-group type: Ia-3d
- Calculated total energy: -0.247 Ha/atom



Entry 11:
Below is a relaxed Ti2SnRu crystal, with properties calculated at the GGA-PBE level.

Lattice parameters (Å, degrees): 3.138 3.138 8.587 79.47 79.47 60.00
Fractional positions:
1 Sn 0.500 0.500 0.500
2 Ti 0.738 0.738 0.785
3 Ti 0.262 0.262 0.215
4 Ru 0.000 0.000 0.000

## Properties
- Calculated formation energy: -0.212 eV/atom
- V: 17.9 A^3/atom
- Space-group type: R-3m
- Calculated total energy: -0.275 Ha/atom



Entry 12:
Below is a relaxed TiSnRu2 crystal, with properties calculated at the GGA-PBE level.

Lattice parameters (Å, degrees): 6.976 6.976 5.707 52.33 52.33 90.00
Fractional positions:
1 Ru 0.375 0.412 0.750
2 Ti 0.250 0.750 0.500
3 Ru 0.875 0.838 0.750
4 Sn 0.000 0.000 0.000
5 Ru 0.162 0.625 0.250
6 Ti 0.500 0.500 0.000
7 Ru 0.588 0.125 0.250
8 Sn 0.750 0.250 0.500

## Properties
- Calculated formation energy: 0.228 eV/atom
- V: 17.5 A^3/atom
- Space-group type: I-42d
- Calculated total energy: -0.271 Ha/atom



Entry 13:
Below is a relaxed Ti2SnRu crystal, with properties calculated at the GGA-PBE level.

Lattice parameters (Å, degrees): 4.114 4.024 4.024 90.00 90.00 90.00
Fractional positions:
1 Ti 0.000 0.500 0.000
2 Ru 0.500 0.500 0.500
3 Sn 0.500 0.000 0.000
4 Ti 0.000 0.000 0.500

## Properties
- Calculated formation energy: -0.353 eV/atom
- V: 16.7 A^3/atom
- Space-group type: P4/mmm
- Calculated total energy: -0.280 Ha/atom



Entry 14:
Below is a relaxed TiSn2Ru crystal, with properties calculated at the GGA-PBE level.

Lattice parameters (Å, degrees): 4.696 4.696 4.696 60.00 60.00 60.00
Fractional positions:
1 Sn 0.250 0.250 0.250
2 Ti 0.000 0.000 0.000
3 Ru 0.500 0.500 0.500
4 Sn 0.750 0.750 0.750

## Properties
- Calculated formation energy: -0.021 eV/atom
- V: 18.3 A^3/atom
- Space-group type: Fm-3m
- Calculated total energy: -0.232 Ha/atom



Entry 15:
Below is a relaxed TiSnRu2 crystal, with properties calculated at the GGA-PBE level.

Lattice parameters (Å, degrees): 3.174 3.174 6.229 90.00 90.00 90.00
Fractional positions:
1 Ti 0.500 0.500 0.000
2 Sn 0.500 0.500 0.500
3 Ru 0.000 0.000 0.761
4 Ru 0.000 0.000 0.239

## Properties
- Calculated formation energy: -0.467 eV/atom
- V: 15.7 A^3/atom
- Space-group type: P4/mmm
- Calculated total energy: -0.297 Ha/atom



Entry 16:
Below is a relaxed TlSn2Ru2 crystal, with properties calculated at the GGA-PBE level.

Lattice parameters (Å, degrees): 7.729 7.729 3.219 90.00 90.00 90.00
Fractional positions:
1 Ru 0.648 0.148 0.000
2 Ru 0.352 0.852 0.000
3 Ru 0.852 0.648 0.000
4 Tl 0.500 0.500 0.000
5 Sn 0.647 0.853 0.500
6 Sn 0.353 0.147 0.500
7 Tl 0.000 0.000 0.000
8 Ru 0.148 0.352 0.000
9 Sn 0.853 0.353 0.500
10 Sn 0.147 0.647 0.500

## Properties
- Calculated formation energy: 0.077 eV/atom
- V: 19.2 A^3/atom
- E above lowest polymorph: 0.000 eV/f.u.
- Space-group type: P4/mbm
- Calculated total energy: -0.210 Ha/atom



Entry 17:
Below is a relaxed Tl2SnRu crystal, with properties calculated at the GGA-PBE level.

Lattice parameters (Å, degrees): 5.059 5.059 5.059 60.00 60.00 60.00
Fractional positions:
1 Sn 0.500 0.500 0.500
2 Tl 0.250 0.250 0.250
3 Tl 0.750 0.750 0.750
4 Ru 0.000 0.000 0.000

## Properties
- Calculated formation energy: 0.666 eV/atom
- V: 22.9 A^3/atom
- E above lowest polymorph: 1.898 eV/f.u.
- Space-group type: Fm-3m
- Calculated total energy: -0.141 Ha/atom



Entry 18:
Below is a relaxed TlSn2Ru2 crystal, with properties calculated at the GGA-PBE level.

Lattice parameters (Å, degrees): 4.225 4.225 6.631 71.42 71.42 90.00
Fractional positions:
1 Sn 0.750 0.250 0.500
2 Ru 0.391 0.391 0.218
3 Ru 0.609 0.609 0.782
4 Tl 0.000 0.000 0.000
5 Sn 0.250 0.750 0.500

## Properties
- Calculated formation energy: 0.270 eV/atom
- V: 21.1 A^3/atom
- E above lowest polymorph: 0.964 eV/f.u.
- Space-group type: I4/mmm
- Calculated total energy: -0.203 Ha/atom



Entry 19:
Below is a relaxed TlSn2Ru crystal, with properties calculated at the GGA-PBE level.

Lattice parameters (Å, degrees): 5.008 5.008 5.008 60.00 60.00 60.00
Fractional positions:
1 Sn 0.750 0.750 0.750
2 Sn 0.250 0.250 0.250
3 Tl 0.500 0.500 0.500
4 Ru 0.000 0.000 0.000

## Properties
- Calculated formation energy: 0.458 eV/atom
- V: 22.2 A^3/atom
- E above lowest polymorph: 1.516 eV/f.u.
- Space-group type: Fm-3m
- Calculated total energy: -0.164 Ha/atom



Entry 20:
Below is a relaxed TlSn2Ru crystal, with properties calculated at the GGA-PBE level.

Lattice parameters (Å, degrees): 3.346 3.346 10.230 80.59 80.59 60.00
Fractional positions:
1 Sn 0.897 0.897 0.310
2 Tl 0.000 0.000 0.000
3 Ru 0.500 0.500 0.500
4 Sn 0.103 0.103 0.690

## Properties
- Calculated formation energy: 0.079 eV/atom
- V: 24.3 A^3/atom
- E above lowest polymorph: 0.000 eV/f.u.
- Space-group type: R-3m
- Calculated total energy: -0.178 Ha/atom



Entry 21:
Below is a relaxed Tl2SnRu crystal, with properties calculated at the GGA-PBE level.

Lattice parameters (Å, degrees): 10.488 10.488 7.841 48.02 48.02 90.00
Fractional positions:
1 Tl 0.875 0.626 0.750
2 Ru 0.500 0.500 0.000
3 Tl 0.376 0.125 0.250
4 Tl 0.375 0.624 0.750
5 Sn 0.000 0.000 0.000
6 Tl 0.374 0.625 0.250
7 Ru 0.250 0.750 0.500
8 Sn 0.750 0.250 0.500

## Properties
- Calculated formation energy: 0.192 eV/atom
- V: 35.0 A^3/atom
- E above lowest polymorph: 0.000 eV/f.u.
- Space-group type: I-42d
- Calculated total energy: -0.158 Ha/atom



Entry 22:
Below is a relaxed TlSn2Ru crystal, with properties calculated at the GGA-PBE level.

Lattice parameters (Å, degrees): 5.489 5.489 8.957 72.15 72.15 90.00
Fractional positions:
1 Tl 0.000 0.000 0.000
2 Sn 0.227 0.625 0.250
3 Sn 0.875 0.773 0.750
4 Tl 0.750 0.250 0.500
5 Sn 0.523 0.125 0.250
6 Ru 0.250 0.750 0.500
7 Ru 0.500 0.500 0.000
8 Sn 0.375 0.477 0.750

## Properties
- Calculated formation energy: 0.443 eV/atom
- V: 30.4 A^3/atom
- E above lowest polymorph: 1.457 eV/f.u.
- Space-group type: I-42d
- Calculated total energy: -0.164 Ha/atom



Entry 23:
Below is a relaxed TlSn3Ru crystal, with properties calculated at the GGA-PBE level.

Lattice parameters (Å, degrees): 5.174 5.174 5.174 90.00 90.00 90.00
Fractional positions:
1 Sn 0.500 0.000 0.000
2 Tl 0.500 0.500 0.500
3 Ru 0.000 0.000 0.000
4 Sn 0.000 0.000 0.500
5 Sn 0.000 0.500 0.000

## Properties
- Calculated formation energy: 0.101 eV/atom
- V: 27.7 A^3/atom
- E above lowest polymorph: 0.000 eV/f.u.
- Space-group type: Pm-3m
- Calculated total energy: -0.170 Ha/atom